Ac2SmAg3 | PBE-GGA | relaxed

Unit cell a=3.871 b=3.871 c=11.667 alpha=90.00 beta=90.00 gamma=90.00
Space group P4/mmm (No. 123)
Unique sites:
Ac (0.000, 0.000, 0.173) (multiplicity 2)
Sm (0.000, 0.000, 0.500) (multiplicity 1)
Ag (0.500, 0.500, 0.000) (multiplicity 1)
Ag (0.500, 0.500, 0.356) (multiplicity 2)

Summary:
**Total magnetization**: 0.000 μB per formula unit
**DOS at the Fermi energy**: 0.6144 states/eV/atom
**Energy of formation**: -0.261 eV/atom
**Mass density**: 8.8 g cm⁻³
**Calculated volume**: 29.143 Å³/atom
**Calculated total energy**: -23.06 eV/cell

---

Na2BiPd | PBE-GGA | relaxed

Unit cell a=3.695 b=26.493 c=4.419 alpha=90.00 beta=90.00 gamma=90.00
Space group Cmcm (No. 63)
Unique sites:
Na (0.000, 0.056, 0.250) (multiplicity 4)
Na (0.000, 0.247, 0.750) (multiplicity 4)
Bi (0.000, 0.357, 0.250) (multiplicity 4)
Pd (0.000, 0.164, 0.250) (multiplicity 4)

Summary:
**Total magnetization**: 0.000 μB per formula unit
**DOS at the Fermi energy**: 0.4789 states/eV/atom
**Energy of formation**: -0.168 eV/atom
**Mass density**: 5.5 g cm⁻³
**Calculated volume**: 27.035 Å³/atom
**Calculated total energy**: -49.54 eV/cell